[1]
A plane-wave DFT calculation with PBE was carried out for crystalline Ca2ReAs at its relaxed geometry.

The structure in POSCAR format:
```
Ca2ReAs
1.0
5.9801 0.0010 0.0029
2.8154 5.2759 -0.0029
-3.8641 -3.5279 2.8955
Re As Ca
1 1 2
Cartesian
3.9409 2.3643 0.0000
1.9743 2.3730 1.4463
0.2844 0.1706 0.0000
3.1296 -0.5206 1.4492
```

## Properties
* density of states at the Fermi level: 2.2 states/eV/cell
* total magnetic moment: 0.00 μB per formula unit
* energy of formation from the pure elements: 14.5 meV per atom
* crystal system: orthorhombic
* symmetry: Imm2



[2]
A plane-wave DFT calculation with PBE was carried out for crystalline CaReAs2Ru at its relaxed geometry.

The structure in POSCAR format:
```
CaReAs2Ru
1.0
4.9720 0.0000 0.0000
0.0000 4.6503 0.0000
0.0000 0.0000 4.9720
Re As Ca Ru
1 2 1 1
Cartesian
0.0000 2.3251 0.0000
0.0000 0.0000 2.4860
2.4860 0.0000 0.0000
0.0000 0.0000 0.0000
2.4860 2.3251 2.4860
```

## Properties
* density of states at the Fermi level: 7.6 states/eV/cell
* total magnetic moment: 1.14 μB per formula unit
* energy of formation from the pure elements: 2423.7 meV per atom
* crystal system: tetragonal
* symmetry: P4/mmm